The following is a DFT calculation (PBE+U) of an optimized crystal structure of PaNiAgO6.

Unit cell a=5.2251 b=5.2251 c=4.7577 alpha=90.00 beta=90.00 gamma=120.00
Last column: nearest neighbours and their distance in Å.
Space group P312 (No. 149)
Asymmetric unit:
Pa 0.0000 0.0000 0.0000 [1 per cell]  6 O 2.18
Ni 0.3333 0.6667 0.5000 [1 per cell]  6 O 2.06
Ag 0.6667 0.3333 0.5000 [1 per cell]  6 O 2.05
O 0.9998 0.3423 0.7368 [6 per cell]  1 Ag 2.05, 1 Ni 2.06, 1 Pa 2.18

Summary:
Final energy: -6.3808 eV per atom
Fermi-level density of states: 0.09 states/eV per cell